Crystalline Rb5As3Au3 at its relaxed geometry. Source: Alexandria, functional PBE.

Lattice parameters (Å, degrees): 10.7942 10.7942 4.6864 90.07 90.07 120.00
Fractional coordinates of all 11 atoms:
Rb1 0.0000 0.0000 0.0000
Rb2 0.2544 0.5088 0.0003
Rb3 0.5088 0.2544 0.0003
Rb4 0.5877 0.9211 0.0002
Rb5 0.9211 0.5877 0.0002
As1 0.2544 0.8754 0.9999
As2 0.6334 0.6334 0.0007
As3 0.8754 0.2544 0.9999
Au1 0.2544 0.9414 0.5001
Au2 0.5674 0.5674 0.5004
Au3 0.9414 0.2544 0.5001

Results
crystal system = monoclinic
N(E_F) = 3.03 states/eV/cell
total DFT energy (no corrections) = -32.52 eV per formula unit
DFT formation energy = -355 meV per atom